# Ac2NiHgO5, optimized geometry, DFT GGA+U
data_Ac2NiHgO5
_space_group_name_H-M_alt 'P 4/m b m'
_space_group_IT_number 127
_space_group_name_Hall '-P 4 2ab'
_cell_length_a 7.2191
_cell_length_b 7.2191
_cell_length_c 5.5722
_cell_angle_alpha 90.00
_cell_angle_beta 90.00
_cell_angle_gamma 90.00
loop_
_atom_site_label
_atom_site_type_symbol
_atom_site_fract_x
_atom_site_fract_y
_atom_site_fract_z
_atom_site_occupancy
Ac1 Ac 0.1769 0.3231 0.0000 1
Ni1 Ni 0.0000 0.5000 0.5000 1
Hg1 Hg 0.0000 0.0000 0.5000 1
O1 O 0.0000 0.0000 0.0000 1
O2 O 0.1278 0.6278 0.2629 1
# Electronic total energy ... -0.2161 hartree per atom